Below is Hf2TcSbPd after structural relaxation, with properties calculated at the PBE level.

```
Hf2TcSbPd
1.0
4.8989 0.0000 0.0000
0.0000 4.9320 0.0000
0.0000 0.0000 4.8989
Sb Tc Pd Hf
1 1 1 2
Cartesian
2.4495 2.4660 2.4495
0.0000 0.0000 0.0000
0.0000 2.4660 0.0000
2.4495 0.0000 0.0000
0.0000 0.0000 2.4495
```

Values from the calculation:
- ρ: 9.6 g/cm³
- Uncorrected energy: -7.40 eV per atom
- Energy relative to the elements, uncorrected: 0.514 eV/atom
- SG: No. 123

=====

Below is HfSbTe2Pd after structural relaxation, with properties calculated at the PBE level.

```
HfSbTe2Pd
1.0
-5.2065 0.6419 0.0040
-0.2026 -1.6748 4.9672
0.5903 4.7779 1.6351
Pd Te Sb Hf
1 2 1 1
Cartesian
0.0000 0.0000 0.0000
-2.6032 0.3209 0.0020
-0.1013 -0.8374 2.4836
0.2951 2.3890 0.8175
-2.4094 1.8725 3.3031
```

Values from the calculation:
- ρ: 7.9 g/cm³
- Uncorrected energy: -4.67 eV per atom
- Energy relative to the elements, uncorrected: 0.441 eV/atom
- SG: No. 123